# 1
CeCoC | PBE | relaxed

Summary:
- E above lowest polymorph: 0.38 eV per formula unit
- ρ: 7.39 g cm⁻³
- Formation enthalpy at 0 K: -0.05 eV per atom

a b c (Å): 5.8016 5.1868 5.1863
angles (deg): 50.71 55.98 56.01
Last column: nearest neighbours and their distance in Å.
Element x y z (fractional)
Ce 0.9607 0.7677 0.9550  4 C 2.59-2.60, 4 Co 2.87-2.90
Ce 0.4607 0.2680 0.4547  4 C 2.59, 3 Co 2.87-2.90
Co 0.2106 0.0232 0.1996  2 C 1.81
Co 0.7108 0.5126 0.7100  2 C 1.81
C 0.4610 0.2676 0.9546  2 Co 1.81
C 0.9608 0.2678 0.9547  2 Co 1.81

# 2
Mg2TlGaH | PBE | relaxed

Summary:
- ρ: 5.92 g cm⁻³
- Raw total energy: -2.329 eV per atom

a b c (Å): 4.4691 4.4691 4.5500
angles (deg): 90.00 90.00 90.00
Last column: nearest neighbours and their distance in Å.
Element x y z (fractional)
H 0.0000 0.0000 0.0000  4 Mg 2.23, 2 Ga 2.28
Tl 0.5000 0.5000 0.5000  4 Ga 3.16, 8 Mg 3.19
Mg 0.0000 0.5000 0.0000  2 H 2.23
Mg 0.5000 0.0000 0.0000  2 H 2.23
Ga 0.0000 0.0000 0.5000  2 H 2.28

# 3
Sc2TaCo | PBE | relaxed

Summary:
- E above lowest polymorph: 1.29 eV per formula unit
- ρ: 7.69 g cm⁻³
- Formation enthalpy at 0 K: 0.24 eV per atom

a b c (Å): 5.5877 5.2744 2.9499
angles (deg): 81.30 75.98 117.51
Last column: nearest neighbours and their distance in Å.
Element x y z (fractional)
Co 0.5000 0.5000 0.0000  4 Sc 2.82, 2 Ta 2.83, 2 Co 2.95
Sc 0.0000 0.0000 0.0000  2 Co 2.82, 2 Ta 2.82, 4 Sc 2.83-2.95
Sc 0.5000 0.0000 0.5000  2 Ta 2.82, 2 Co 2.82, 4 Sc 2.83-2.95
Ta 0.0000 0.5000 0.5000  4 Sc 2.82, 2 Co 2.83, 2 Ta 2.95